# KNaSrF4

A relaxed structure of KNaSrF4 (PBE, Alexandria).

Formation energy from raw total energies in eV/atom: -3.11

abc: 7.1471 7.1471 6.1078
angles: 90.00 90.00 132.38
Element x y z (fractional)
K  0.1031  0.8969  0.7500
K  0.8969  0.1031  0.2500
Na  0.2591  0.7409  0.2500
Na  0.7409  0.2591  0.7500
Sr  0.3725  0.6275  0.7500
Sr  0.6275  0.3725  0.2500
F  0.0000  0.5000  0.0000
F  0.0000  0.5000  0.5000
F  0.0853  0.9147  0.2500
F  0.4434  0.5566  0.2500
F  0.5000  0.0000  0.0000
F  0.5000  0.0000  0.5000
F  0.5566  0.4434  0.7500
F  0.9147  0.0853  0.7500

---

# KNaTaF6

A relaxed structure of KNaTaF6 (PBE, Alexandria).

Formation energy from raw total energies in eV/atom: -2.99

abc: 6.0507 6.0507 10.1528
angles: 90.00 90.00 120.00
Element x y z (fractional)
K  0.0000  0.0000  0.0000
K  0.0000  0.0000  0.5000
Na  0.3333  0.6667  0.2500
Na  0.6667  0.3333  0.7500
Ta  0.3333  0.6667  0.7500
Ta  0.6667  0.3333  0.2500
F  0.0405  0.3843  0.6519
F  0.0405  0.6562  0.8481
F  0.3438  0.3843  0.8481
F  0.3438  0.9595  0.6519
F  0.3843  0.0405  0.1519
F  0.3843  0.3438  0.3481
F  0.6157  0.6562  0.6519
F  0.6157  0.9595  0.8481
F  0.6562  0.0405  0.3481
F  0.6562  0.6157  0.1519
F  0.9595  0.3438  0.1519
F  0.9595  0.6157  0.3481

---

# KNaTa2F

A relaxed structure of KNaTa2F (PBE, Alexandria).

Formation energy from raw total energies in eV/atom: 0.59

abc: 4.3506 4.3506 5.8818
angles: 90.00 90.00 90.00
Element x y z (fractional)
K  0.0000  0.0000  0.0000
Na  0.5000  0.5000  0.0000
Ta  0.0000  0.5000  0.5000
Ta  0.5000  0.0000  0.5000
F  0.0000  0.0000  0.5000

---

# K2NaTaF6

A relaxed structure of K2NaTaF6 (PBE, Alexandria).

Formation energy from raw total energies in eV/atom: -2.69

abc: 6.1456 6.1456 6.1456
angles: 60.00 60.00 60.00
Element x y z (fractional)
K  0.2500  0.2500  0.2500
K  0.7500  0.7500  0.7500
Na  0.0000  0.0000  0.0000
Ta  0.5000  0.5000  0.5000
F  0.2593  0.2593  0.7407
F  0.2593  0.7407  0.2593
F  0.2593  0.7407  0.7407
F  0.7407  0.2593  0.2593
F  0.7407  0.2593  0.7407
F  0.7407  0.7407  0.2593

---

# KNa2TaF6

A relaxed structure of KNa2TaF6 (PBE, Alexandria).

Formation energy from raw total energies in eV/atom: -2.51

abc: 6.5073 6.5073 6.5073
angles: 60.00 60.00 60.00
Element x y z (fractional)
K  0.0000  0.0000  0.0000
Na  0.2500  0.2500  0.2500
Na  0.7500  0.7500  0.7500
Ta  0.5000  0.5000  0.5000
F  0.2802  0.2802  0.7198
F  0.2802  0.7198  0.2802
F  0.2802  0.7198  0.7198
F  0.7198  0.2802  0.2802
F  0.7198  0.2802  0.7198
F  0.7198  0.7198  0.2802

---

# KNa2TbF6

A relaxed structure of KNa2TbF6 (PBE, Alexandria).

Formation energy from raw total energies in eV/atom: -3.31

abc: 6.3801 6.3801 6.3801
angles: 56.34 56.34 56.34
Element x y z (fractional)
K  0.0000  0.0000  0.0000
Na  0.2787  0.2787  0.2787
Na  0.7872  0.7872  0.7872
Tb  0.4862  0.4862  0.4862
F  0.1004  0.6381  0.4391
F  0.2104  0.5594  0.8686
F  0.4391  0.1004  0.6381
F  0.5594  0.8686  0.2104
F  0.6381  0.4391  0.1004
F  0.8686  0.2104  0.5594

---

Asked for spin magnetization across the records above, the calculation gives 0.091, 1.007, 2.265, 1.995, 1.198, 0.219 μB per formula unit in order.